1.
KP: optimized geometry, PBE-GGA. Values from VASP.

Output
- ρ: 1.597 g/cm³
- Electronic total energy: -3.60 eV per atom
- Space-group type: Pmmn
- ΔE_f: -0.351 eV per atom
- Polymorph energy (0 for the lowest one): 68 meV per atom

```
&SYSTEM
  ibrav = 0, nat = 12, ntyp = 2
/
ATOMIC_SPECIES
K 39.10 K.upf
P 30.97 P.upf
ATOMIC_POSITIONS angstrom
K -1.4224 -1.2813 -1.7996
K 4.9202 -7.4473 0.3290
K -0.0107 -9.2357 2.4724
K 3.6211 -3.7396 -1.0082
K -0.1232 -4.9889 -0.4624
K 3.7884 -10.0527 3.3545
P 2.4662 -9.7335 0.3033
P 1.1106 -1.9762 0.2862
P 2.3872 -6.7524 -1.7567
P 1.8930 -0.8583 -1.3146
P 1.3114 -9.5550 5.5235
P 1.6048 -7.8703 -0.1560
CELL_PARAMETERS angstrom
-3.3285 -2.3432 -3.2632
5.0222 -2.2770 -3.4876
0.2798 -10.5598 7.2974
```

***

2.
KP: optimized geometry, PBE-GGA. Values from VASP.

Output
- ρ: 2.095 g/cm³
- Electronic total energy: -3.60 eV per atom
- Space-group type: Cmcm
- ΔE_f: -0.348 eV per atom
- Polymorph energy (0 for the lowest one): 71 meV per atom

```
&SYSTEM
  ibrav = 0, nat = 4, ntyp = 2
/
ATOMIC_SPECIES
K 39.10 K.upf
P 30.97 P.upf
ATOMIC_POSITIONS angstrom
K -3.4515 -2.2999 0.0263
K -3.7773 1.6851 0.7832
P -6.3070 -0.3934 0.1535
P -0.9218 -0.2214 0.6559
CELL_PARAMETERS angstrom
-2.0561 -2.8098 -3.8477
-1.4714 -2.3719 2.5184
-3.7013 4.5669 2.1388
```